[1]
BeCr2Ru: relaxed, PBE.

```
BeCr2Ru
1.0
6.5206 0.0000 0.0000
0.0000 6.5206 0.0000
3.2603 3.2603 2.2583
Ru Be Cr
2 2 4
direct
0.0000 0.0000 0.0000
0.7500 0.2500 0.5000
0.5000 0.5000 0.0000
0.2500 0.7500 0.5000
0.5882 0.1250 0.2500
0.1618 0.6250 0.2500
0.3750 0.4118 0.7500
0.8750 0.8382 0.7500
```

***

[2]
BeCr2Ru: relaxed, PBE.

```
BeCr2Ru
1.0
2.5113 0.0036 0.0000
-0.8665 2.3571 0.0000
0.0000 0.0000 7.9661
Ru Be Cr
1 1 2
direct
0.5000 0.5000 0.2500
0.5000 0.5000 0.7500
0.0000 0.0000 0.9832
0.0000 0.0000 0.5168
```

***

[3]
Be2CrRu: relaxed, PBE.

```
Be2CrRu
1.0
-0.6354 2.0275 2.9872
-0.9759 -2.0154 1.1604
3.7798 -2.0673 2.2072
Ru Be Cr
1 2 1
direct
0.5000 0.7500 0.7500
0.0000 0.9836 0.0029
0.0000 0.5164 0.4971
0.5000 0.2500 0.2500
```

***

Energy relative to the elements, respectively: 640.7; 277.0; 57.7 meV per atom.